Here is a relaxed TaMn2Br crystal from the Alexandria database. Energies are from GGA-PBE.

Properties
E_form (uncorrected) ... 0.7518 eV per atom
Offset from the most stable computed form ... 541.8 meV per atom

Structure (POSCAR):
```
TaMn2Br
1.0
-2.039 2.039 3.913
2.039 -2.039 3.913
2.039 2.039 -3.913
Ta Mn Br
1 2 1
Direct
0.000 0.000 0.000
0.500 0.500 0.000
0.750 0.250 0.500
0.250 0.750 0.500
```


Here is a relaxed SbMoOs2 crystal from the Alexandria database. Energies are from GGA-PBE.

Properties
E_form (uncorrected) ... 0.5338 eV per atom

Structure (POSCAR):
```
SbMoOs2
1.0
3.011 0.000 0.000
0.000 4.617 0.000
0.000 0.000 4.669
Sb Mo Os
1 1 2
Direct
0.000 0.000 0.000
0.500 0.000 0.500
0.000 0.500 0.500
0.500 0.500 0.000
```


Here is a relaxed Ce2ZnHg2 crystal from the Alexandria database. Energies are from GGA-PBE.

Properties
Energy relative to the elements ... -1.241 eV per formula unit
Offset from the most stable computed form ... 22.0 meV per atom

Structure (POSCAR):
```
Ce2ZnHg2
1.0
7.939 -2.795 0.000
7.939 2.795 0.000
-0.008 0.000 5.576
Ce Zn Hg
4 2 4
Direct
0.160 0.663 0.750
0.337 0.840 0.750
0.663 0.160 0.250
0.840 0.337 0.250
0.251 0.749 0.250
0.749 0.251 0.750
0.052 0.548 0.250
0.452 0.948 0.250
0.548 0.052 0.750
0.948 0.452 0.750
```


What did we get for magnetization? Answer: 5.72 0.00 1.85 μB per formula unit, in the order shown.